# 1
First-principles (PBE) data for a relaxed SrPr2ReO8 crystal, as listed in the Alexandria database.

## Properties
Raw formation energy (eV per atom): -2.411

Cell lengths 4.5868, 5.2660, 7.1567 Å; angles 90.00, 73.90, 89.88 degrees
Space group P-1 (No. 2)
Unique sites:
Sr: 0.0000 0.0000 0.0000 (multiplicity 1)
Pr: 0.3891 0.5004 0.2847 (multiplicity 2)
Re: 0.0000 0.0000 0.5000 (multiplicity 1)
O: 0.1894 0.2564 0.6085 (multiplicity 2)
O: 0.1935 0.7476 0.6094 (multiplicity 2)
O: 0.2327 0.5000 0.0041 (multiplicity 2)
O: 0.3241 0.9997 0.2596 (multiplicity 2)

# 2
First-principles (PBE) data for a relaxed BeOs2Pt crystal, as listed in the Alexandria database.

## Properties
Energy relative to the elements (eV per atom): -0.1862

Cell lengths 2.7697, 2.7697, 6.7959 Å; angles 90.00, 90.00, 90.00 degrees
Space group P4mm (No. 99)
Unique sites:
Be: 0.0000 0.0000 0.0000 (multiplicity 1)
Os: 0.0000 0.0000 0.4819 (multiplicity 1)
Os: 0.5000 0.5000 0.2232 (multiplicity 1)
Pt: 0.5000 0.5000 0.7933 (multiplicity 1)

# 3
First-principles (PBE) data for a relaxed LiSc2PaSe6 crystal, as listed in the Alexandria database.

## Properties
Raw formation energy (eV per atom): -1.467

Cell lengths 6.8935, 6.8935, 18.7788 Å; angles 90.00, 90.00, 120.00 degrees
Space group R3 (No. 146, hexagonal axes)
Unique sites:
Li: 0.0000 0.0000 0.0000 (multiplicity 3)
Sc: 0.0000 0.0000 0.3019 (multiplicity 3)
Sc: 0.0000 0.0000 0.8072 (multiplicity 3)
Pa: 0.0000 0.0000 0.4918 (multiplicity 3)
Se: 0.0069 0.3147 0.8985 (multiplicity 9)
Se: 0.0140 0.6468 0.0634 (multiplicity 9)

# 4
First-principles (PBE) data for a relaxed LaNd3Ga2 crystal, as listed in the Alexandria database.

## Properties
Energy relative to the elements (eV per atom): -0.3902
E above lowest polymorph (meV per atom): 0

Cell lengths 5.2247, 9.7526, 6.7584 Å; angles 90.00, 90.00, 90.00 degrees
Space group Pmc2_1 (No. 26)
Unique sites:
La: 0.0000 0.0525 0.0000 (multiplicity 2)
Nd: 0.0000 0.3336 0.6732 (multiplicity 2)
Nd: 0.5000 0.1696 0.3005 (multiplicity 2)
Nd: 0.5000 0.4442 0.9759 (multiplicity 2)
Ga: 0.0000 0.3490 0.2024 (multiplicity 2)
Ga: 0.5000 0.1531 0.7692 (multiplicity 2)

# 5
First-principles (PBE) data for a relaxed Mg2RhBr crystal, as listed in the Alexandria database.

## Properties
Raw formation energy (eV per atom): -0.056
E above lowest polymorph (meV per atom): 559

Cell lengths 4.1891, 4.1891, 8.4325 Å; angles 90.00, 90.00, 90.00 degrees
Space group I4/mmm (No. 139)
Unique sites:
Mg: 0.0000 0.5000 0.2500 (multiplicity 4)
Rh: 0.0000 0.0000 0.0000 (multiplicity 2)
Br: 0.0000 0.0000 0.5000 (multiplicity 2)

# 6
First-principles (PBE) data for a relaxed Ba2Mg2Au crystal, as listed in the Alexandria database.

## Properties
Energy relative to the elements (eV per atom): -0.3126
E above lowest polymorph (meV per atom): 0

Cell lengths 12.9605, 7.1240, 7.8335 Å; angles 90.00, 107.00, 90.00 degrees
Space group C2/c (No. 15)
Unique sites:
Ba: 0.1551 0.0767 0.1416 (multiplicity 8)
Mg: 0.0938 0.4057 0.4642 (multiplicity 8)
Au: 0.0000 0.2905 0.7500 (multiplicity 4)

# 7
First-principles (PBE) data for a relaxed SiPb2Au crystal, as listed in the Alexandria database.

## Properties
Raw formation energy (eV per atom): 0.312

Cell lengths 4.3935, 4.3935, 10.1214 Å; angles 90.00, 90.00, 90.00 degrees
Space group I-4m2 (No. 119)
Unique sites:
Si: 0.0000 0.0000 0.0000 (multiplicity 2)
Pb: 0.0000 0.0000 0.5000 (multiplicity 2)
Pb: 0.0000 0.5000 0.2500 (multiplicity 2)
Au: 0.0000 0.5000 0.7500 (multiplicity 2)

# 8
First-principles (PBE) data for a relaxed LiCaGa2Au crystal, as listed in the Alexandria database.

## Properties
Energy relative to the elements (eV per atom): -0.4741

Cell lengths 4.1997, 4.1997, 11.4261 Å; angles 90.00, 90.00, 90.00 degrees
Space group I-4m2 (No. 119)
Unique sites:
Li: 0.0000 0.0000 0.0000 (multiplicity 2)
Ca: 0.0000 0.5000 0.7500 (multiplicity 2)
Ga: 0.0000 0.5000 0.1384 (multiplicity 4)
Au: 0.0000 0.0000 0.5000 (multiplicity 2)

# 9
First-principles (PBE) data for a relaxed AlSe2Br crystal, as listed in the Alexandria database.

## Properties
Raw formation energy (eV per atom): -0.575
E above lowest polymorph (meV per atom): 0

Cell lengths 5.0867, 3.7574, 5.2962 Å; angles 90.00, 105.10, 90.00 degrees
Space group P2/m (No. 10)
Unique sites:
Al: 0.0000 0.0000 0.0000 (multiplicity 1)
Se: 0.3545 0.5000 0.1459 (multiplicity 2)
Br: 0.0000 0.0000 0.5000 (multiplicity 1)

# 10
First-principles (PBE) data for a relaxed MgZn2TePd crystal, as listed in the Alexandria database.

## Properties
Raw formation energy (eV per atom): 0.698

Cell lengths 5.1872, 5.1872, 5.3932 Å; angles 90.00, 90.00, 90.00 degrees
Space group P4/mmm (No. 123)
Unique sites:
Mg: 0.0000 0.0000 0.0000 (multiplicity 1)
Zn: 0.0000 0.5000 0.5000 (multiplicity 2)
Te: 0.0000 0.0000 0.5000 (multiplicity 1)
Pd: 0.5000 0.5000 0.0000 (multiplicity 1)

# 11
First-principles (PBE) data for a relaxed TbGa2Ge crystal, as listed in the Alexandria database.

## Properties
Energy relative to the elements (eV per atom): -0.2844
E above lowest polymorph (meV per atom): 225

Cell lengths 4.4422, 4.4422, 14.9422 Å; angles 90.00, 90.00, 120.00 degrees
Space group R-3m (No. 166, hexagonal axes)
Unique sites:
Tb: 0.0000 0.0000 0.0000 (multiplicity 3)
Ga: 0.0000 0.0000 0.2210 (multiplicity 6)
Ge: 0.0000 0.0000 0.5000 (multiplicity 3)

# 12
First-principles (PBE) data for a relaxed Ce5ErSn3 crystal, as listed in the Alexandria database.

## Properties
Energy relative to the elements (eV per atom): -0.4671

Cell lengths 9.4558, 9.4558, 6.6235 Å; angles 90.00, 90.00, 120.00 degrees
Space group P6_3/mcm (No. 193)
Unique sites:
Ce: 0.0000 0.3399 0.2500 (multiplicity 6)
Ce: 0.3333 0.6667 0.0000 (multiplicity 4)
Er: 0.0000 0.0000 0.0000 (multiplicity 2)
Sn: 0.0000 0.3255 0.7500 (multiplicity 6)

no.,magnetic moment (μB per formula unit),raw total energy (eV for the cell shown)
1,0.22,-92.29
2,0.00,-32.97
3,0.00,-178.94
4,0.00,-55.25
5,0.00,-24.88
6,0.00,-47.50
7,0.00,-29.74
8,0.00,-31.23
9,0.00,-14.68
10,0.00,-8.99
11,0.00,-49.32
12,7.53,-100.89